VASP calculation (PBE-GGA) on crystalline Ce2CdGa12 at its relaxed geometry.

Values from the calculation:
crystal system	tetragonal

abc: 5.948 5.948 17.376
angles: 90.00 90.00 90.00
Fractional positions:
Ce  0.250  0.750  0.223
Ce  0.250  0.750  0.777
Ce  0.750  0.250  0.223
Ce  0.750  0.250  0.777
Cd  0.250  0.750  0.500
Cd  0.750  0.250  0.500
Ga  0.001  0.501  0.386
Ga  0.001  0.999  0.614
Ga  0.068  0.568  0.934
Ga  0.068  0.932  0.066
Ga  0.250  0.250  0.151
Ga  0.250  0.250  0.294
Ga  0.250  0.250  0.706
Ga  0.250  0.250  0.849
Ga  0.432  0.568  0.066
Ga  0.432  0.932  0.934
Ga  0.499  0.501  0.614
Ga  0.499  0.999  0.386
Ga  0.501  0.001  0.614
Ga  0.501  0.499  0.386
Ga  0.568  0.068  0.066
Ga  0.568  0.432  0.934
Ga  0.750  0.750  0.151
Ga  0.750  0.750  0.294
Ga  0.750  0.750  0.706
Ga  0.750  0.750  0.849
Ga  0.932  0.068  0.934
Ga  0.932  0.432  0.066
Ga  0.999  0.001  0.386
Ga  0.999  0.499  0.614


VASP calculation (PBE-GGA) on crystalline CeCd2Ga at its relaxed geometry.

Values from the calculation:
crystal system	tetragonal
energy above the most stable polymorph in this dataset	181	meV/atom

abc: 3.567 3.567 7.511
angles: 90.00 90.00 90.00
Fractional positions:
Ce  0.000  0.000  0.000
Cd  0.500  0.500  0.288
Cd  0.500  0.500  0.712
Ga  0.000  0.000  0.500


VASP calculation (PBE-GGA) on crystalline Ce8CdGa2 at its relaxed geometry.

Values from the calculation:
crystal system	monoclinic
energy above the most stable polymorph in this dataset	18	meV/atom

abc: 7.934 7.934 5.658
angles: 100.10 100.10 116.75
Fractional positions:
Ce  0.074  0.284  0.576
Ce  0.239  0.761  0.000
Ce  0.284  0.074  0.576
Ce  0.410  0.410  0.164
Ce  0.590  0.590  0.836
Ce  0.716  0.926  0.424
Ce  0.761  0.239  0.000
Ce  0.926  0.716  0.424
Cd  0.000  0.000  0.000
Ga  0.311  0.689  0.500
Ga  0.689  0.311  0.500


| no. | calculated formation energy (eV/atom) | V (Å³/f.u.) | total DFT energy (no corrections) (eV/cell) |
| --- | --- | --- | --- |
| 1 | -0.24 | 307 | -105.4 |
| 2 | -0.10 | 96 | -11.2 |
| 3 | -0.12 | 300 | -55.8 |